VASP calculation (GGA-PBE) on a relaxed structure of Dy2TmCo2.

Cell lengths 10.895, 3.895, 6.011 Å; angles 90.00, 121.92, 90.00 degrees
Atoms (fractional coordinates):
Dy  0.194  0.000  0.188
Dy  0.306  0.500  0.812
Dy  0.694  0.500  0.188
Dy  0.806  0.000  0.812
Tm  0.000  0.000  0.500
Tm  0.500  0.500  0.500
Co  0.014  0.500  0.824
Co  0.486  0.000  0.176
Co  0.514  0.000  0.824
Co  0.986  0.500  0.176

energy = -5.75 eV per atom
distance to the lowest polymorph of the same formula = 0.0 meV per atom
DFT formation energy = -0.176 eV per atom

---

VASP calculation (GGA-PBE) on a relaxed structure of SmY2IO8.

Cell lengths 5.056, 5.056, 6.918 Å; angles 90.00, 90.00, 90.26 degrees
Atoms (fractional coordinates):
Sm  0.000  0.000  0.000
Y  0.500  0.500  0.249
Y  0.500  0.500  0.751
I  0.000  0.000  0.500
O  0.181  0.819  0.296
O  0.181  0.819  0.704
O  0.267  0.267  0.500
O  0.313  0.313  0.000
O  0.687  0.687  0.000
O  0.733  0.733  0.500
O  0.819  0.181  0.296
O  0.819  0.181  0.704

energy = -7.21 eV per atom
energy relative to the elements, uncorrected = -2.306 eV/atom